1.
The following is a DFT calculation (PBE) of crystalline Li2Er5Sn4 at its relaxed geometry. Values from VASP.

The structure in Quantum ESPRESSO input format:
```
&SYSTEM
  ibrav = 0, nat = 11, ntyp = 3
/
ATOMIC_SPECIES
Sn 118.71 Sn.upf
Er 167.26 Er.upf
Li 6.94 Li.upf
ATOMIC_POSITIONS angstrom
Sn 0.000 0.447 5.589
Sn 0.000 5.685 -0.448
Sn 1.771 4.465 3.879
Sn 1.771 -0.772 9.916
Er 1.771 2.923 6.564
Er 0.000 1.989 2.903
Er 1.771 -1.846 6.939
Er 1.771 0.000 0.000
Er 0.000 6.759 2.528
Li 0.000 0.660 8.246
Li 1.771 4.253 1.221
CELL_PARAMETERS angstrom
3.543 0.000 0.000
0.000 8.265 -0.656
-1.771 -3.353 10.123
```

Computed properties:
Energy   -4.255 eV per atom
Crystal system   monoclinic
Magnetic moment   0.0 Bohr magnetons per cell
Energy of formation from the pure elements   -0.38 eV/atom

***

2.
The following is a DFT calculation (PBE) of crystalline Sr2CdIr at its relaxed geometry. Values from VASP.

The structure in Quantum ESPRESSO input format:
```
&SYSTEM
  ibrav = 0, nat = 4, ntyp = 3
/
ATOMIC_SPECIES
Sr 87.62 Sr.upf
Ir 192.22 Ir.upf
Cd 112.41 Cd.upf
ATOMIC_POSITIONS angstrom
Sr 4.479 1.366 0.837
Sr 0.866 0.264 0.162
Ir 16.953 5.168 3.169
Cd 9.800 2.988 1.832
CELL_PARAMETERS angstrom
8.041 0.009 0.005
6.679 4.479 0.005
6.679 2.036 3.989
```

Computed properties:
Energy   -3.446 eV per atom
Crystal system   trigonal
Magnetic moment   0.0 Bohr magnetons per cell
Energy of formation from the pure elements   -0.16 eV/atom

***

3.
The following is a DFT calculation (PBE) of crystalline BaPa2AgS7 at its relaxed geometry. Values from VASP.

The structure in Quantum ESPRESSO input format:
```
&SYSTEM
  ibrav = 0, nat = 11, ntyp = 4
/
ATOMIC_SPECIES
Pa 231.04 Pa.upf
S 32.06 S.upf
Ag 107.87 Ag.upf
Ba 137.33 Ba.upf
ATOMIC_POSITIONS angstrom
Pa -5.052 6.595 2.360
Pa -0.481 2.501 0.755
S -3.486 7.893 0.634
S -3.110 6.738 4.153
S -2.074 1.348 2.525
S 0.000 0.000 0.000
S -0.939 4.883 1.474
S -4.594 4.212 1.641
S -2.394 2.212 -1.081
Ag -2.592 4.043 3.339
Ba -3.641 -0.744 0.145
CELL_PARAMETERS angstrom
-3.988 0.265 -3.418
-3.293 -1.752 3.707
1.750 10.583 2.826
```

Computed properties:
Energy   -6.094 eV per atom
Crystal system   tetragonal
Magnetic moment   0.0 Bohr magnetons per cell

***

4.
The following is a DFT calculation (PBE) of crystalline NbTcIrC2 at its relaxed geometry. Values from VASP.

The structure in Quantum ESPRESSO input format:
```
&SYSTEM
  ibrav = 0, nat = 5, ntyp = 4
/
ATOMIC_SPECIES
C 12.01 C.upf
Nb 92.91 Nb.upf
Tc 98.00 Tc.upf
Ir 192.22 Ir.upf
ATOMIC_POSITIONS angstrom
C 2.020 0.000 0.000
C 0.000 0.000 2.020
Nb 0.000 0.000 0.000
Tc 2.020 2.510 2.020
Ir 0.000 2.510 0.000
CELL_PARAMETERS angstrom
4.040 0.000 0.000
0.000 5.021 0.000
0.000 0.000 4.040
```

Computed properties:
Energy   -7.273 eV per atom
Crystal system   tetragonal
Magnetic moment   0.0 Bohr magnetons per cell
Energy of formation from the pure elements   2.28 eV/atom

***

5.
The following is a DFT calculation (PBE) of crystalline LaCdIr2 at its relaxed geometry. Values from VASP.

The structure in Quantum ESPRESSO input format:
```
&SYSTEM
  ibrav = 0, nat = 4, ntyp = 3
/
ATOMIC_SPECIES
La 138.91 La.upf
Ir 192.22 Ir.upf
Cd 112.41 Cd.upf
ATOMIC_POSITIONS angstrom
La -3.486 -2.758 1.311
Ir -1.727 -0.506 2.535
Ir 0.000 0.000 0.000
Cd -3.108 0.039 0.008
CELL_PARAMETERS angstrom
-4.867 -2.213 -1.215
-2.104 -3.303 3.838
2.136 5.049 -0.079
```

Computed properties:
Energy   -5.951 eV per atom
Crystal system   tetragonal
Magnetic moment   0.0 Bohr magnetons per cell
Energy of formation from the pure elements   -0.06 eV/atom

***

6.
The following is a DFT calculation (PBE) of crystalline SrAcPI at its relaxed geometry. Values from VASP.

The structure in Quantum ESPRESSO input format:
```
&SYSTEM
  ibrav = 0, nat = 4, ntyp = 4
/
ATOMIC_SPECIES
Ac 227.00 Ac.upf
Sr 87.62 Sr.upf
P 30.97 P.upf
I 126.90 I.upf
ATOMIC_POSITIONS angstrom
Ac 0.419 -0.280 5.509
Sr -1.796 3.555 0.534
P -1.796 0.999 7.166
I 2.633 0.998 2.963
CELL_PARAMETERS angstrom
4.429 -0.001 0.000
-2.214 3.836 0.000
-2.214 -1.278 8.211
```

Computed properties:
Energy   -4.519 eV per atom
Crystal system   trigonal
Magnetic moment   0.8 Bohr magnetons per cell

***

7.
The following is a DFT calculation (PBE) of crystalline Ba4Na5Li2 at its relaxed geometry. Values from VASP.

The structure in Quantum ESPRESSO input format:
```
&SYSTEM
  ibrav = 0, nat = 11, ntyp = 3
/
ATOMIC_SPECIES
Li 6.94 Li.upf
Na 22.99 Na.upf
Ba 137.33 Ba.upf
ATOMIC_POSITIONS angstrom
Li 0.000 0.007 7.360
Li 0.000 8.551 4.380
Na 0.000 6.914 9.955
Na 0.000 4.991 3.671
Na 0.000 3.567 8.070
Na 0.000 1.644 1.785
Na 0.000 4.718 0.013
Ba 2.323 6.675 6.578
Ba 2.323 0.828 10.069
Ba 2.323 1.884 5.162
Ba 2.323 7.730 1.672
CELL_PARAMETERS angstrom
4.646 0.000 0.000
0.000 9.436 0.027
0.000 -0.878 11.713
```

Computed properties:
Energy   -1.600 eV per atom
Crystal system   monoclinic
Magnetic moment   0.0 Bohr magnetons per cell
Energy of formation from the pure elements   0.05 eV/atom

***

8.
The following is a DFT calculation (PBE) of crystalline Y2ScAl at its relaxed geometry. Values from VASP.

The structure in Quantum ESPRESSO input format:
```
&SYSTEM
  ibrav = 0, nat = 4, ntyp = 3
/
ATOMIC_SPECIES
Y 88.91 Y.upf
Sc 44.96 Sc.upf
Al 26.98 Al.upf
ATOMIC_POSITIONS angstrom
Y -3.062 0.705 -1.104
Y 0.000 0.000 0.000
Sc -2.641 -1.257 1.497
Al -1.969 1.997 1.712
CELL_PARAMETERS angstrom
-2.390 3.960 -0.889
-3.734 -2.549 -1.319
-1.547 0.035 4.313
```

Computed properties:
Energy   -5.946 eV per atom
Crystal system   tetragonal
Magnetic moment   0.0 Bohr magnetons per cell
Energy of formation from the pure elements   -0.20 eV/atom